No. 1
DFT (GGA-PBE) results for an optimized crystal structure of La2ReTc.

Calculated values
- formation energy (eV per atom) = 0.6081
- distance to the lowest polymorph of the same formula (kJ/mol of atoms) = 44.40
- DFT total energy (eV/cell) = -30.236
- total moment (μB per cell) = 0.0

Unit cell a=3.149 b=3.149 c=9.373 alpha=90.00 beta=90.00 gamma=114.35
Atoms (fractional coordinates):
Tc 0.500 0.500 0.750
La 0.000 0.000 0.504
La 0.000 0.000 0.996
Re 0.500 0.500 0.250

No. 2
DFT (GGA-PBE) results for an optimized crystal structure of K6Br3O.

Calculated values
- E_form (uncorrected) (eV per atom) = -1.343
- DFT total energy (eV/cell) = -59.980
- total moment (μB per cell) = 1.5

Unit cell a=9.034 b=9.034 c=9.034 alpha=91.28 beta=91.28 gamma=91.28
Atoms (fractional coordinates):
Br 0.250 0.619 0.881
Br 0.381 0.119 0.750
K 0.552 0.224 0.427
K 0.427 0.552 0.224
K 0.776 0.573 0.448
Br 0.119 0.750 0.381
K 0.052 0.927 0.724
K 0.448 0.776 0.573
O 0.500 0.500 0.500
O 0.000 0.000 0.000
K 0.276 0.948 0.073
K 0.573 0.448 0.776
K 0.724 0.052 0.927
K 0.073 0.276 0.948
Br 0.881 0.250 0.619
K 0.927 0.724 0.052
Br 0.750 0.381 0.119
K 0.948 0.073 0.276
Br 0.619 0.881 0.250
K 0.224 0.427 0.552

No. 3
DFT (GGA-PBE) results for an optimized crystal structure of LiNdTh2S4.

Calculated values
- E_form (uncorrected) (eV per atom) = -1.783
- DFT total energy (eV/cell) = -52.295
- total moment (μB per cell) = 0.0

Unit cell a=3.977 b=6.888 c=7.005 alpha=108.85 beta=90.00 gamma=90.00
Atoms (fractional coordinates):
S 0.000 0.264 0.761
S 0.500 0.740 0.758
S 0.000 0.736 0.239
Nd 0.000 0.000 0.000
Th 0.500 0.000 0.500
Th 0.000 0.500 0.500
S 0.500 0.260 0.242
Li 0.500 0.500 0.000

No. 4
DFT (GGA-PBE) results for an optimized crystal structure of CeMgHgRh.

Calculated values
- formation energy (eV per atom) = -0.3824
- DFT total energy (eV/cell) = -16.712
- total moment (μB per cell) = 0.3

Unit cell a=4.949 b=4.949 c=4.949 alpha=60.00 beta=60.00 gamma=60.00
Site moments in Bohr magnetons follow the coordinates.
Atoms (fractional coordinates):
Hg 0.250 0.250 0.250  0.00
Mg 0.000 0.000 0.000  0.00
Rh 0.750 0.750 0.750  -0.04
Ce 0.500 0.500 0.500  0.31

No. 5
DFT (GGA-PBE) results for an optimized crystal structure of ThMgPd2.

Calculated values
- formation energy (eV per atom) = -0.6396
- DFT total energy (eV/cell) = -21.958
- total moment (μB per cell) = 0.0

Unit cell a=3.422 b=4.927 c=4.927 alpha=90.00 beta=90.00 gamma=90.00
Atoms (fractional coordinates):
Pd 0.000 0.000 0.500
Mg 0.500 0.000 0.000
Pd 0.000 0.500 0.000
Th 0.500 0.500 0.500

No. 6
DFT (GGA-PBE) results for an optimized crystal structure of TlNO.

Calculated values
- distance to the lowest polymorph of the same formula (kJ/mol of atoms) = 0.00
- E_form (uncorrected) (eV per atom) = -0.360
- DFT total energy (eV/cell) = -33.459
- total moment (μB per cell) = 0.0

Unit cell a=3.693 b=3.694 c=12.147 alpha=94.85 beta=81.26 gamma=60.00
Atoms (fractional coordinates):
O 0.041 0.241 0.677
Tl 0.007 0.658 0.329
N 0.629 0.715 0.027
O 0.582 0.400 0.436
Tl 0.424 0.534 0.618
N 0.600 0.852 0.948

No. 7
DFT (GGA-PBE) results for an optimized crystal structure of Cr2FeRe.

Calculated values
- formation energy (eV per atom) = 0.1944
- distance to the lowest polymorph of the same formula (kJ/mol of atoms) = 11.31
- DFT total energy (eV/cell) = -39.380
- total moment (μB per cell) = 0.6

Unit cell a=4.486 b=4.486 c=4.497 alpha=80.48 beta=80.48 gamma=33.84
Site moments in Bohr magnetons follow the coordinates.
Atoms (fractional coordinates):
Fe 0.496 0.496 0.505  0.88
Re 0.242 0.242 0.260  -0.02
Cr 0.003 0.003 0.987  -0.13
Cr 0.759 0.759 0.748  -0.14

No. 8
DFT (GGA-PBE) results for an optimized crystal structure of Re2TcBr.

Calculated values
- distance to the lowest polymorph of the same formula (kJ/mol of atoms) = 34.00
- E_form (uncorrected) (eV per atom) = 0.919
- DFT total energy (eV/cell) = -33.261
- total moment (μB per cell) = 0.0

Unit cell a=4.134 b=2.915 c=5.551 alpha=73.71 beta=90.00 gamma=90.00
Atoms (fractional coordinates):
Tc 0.500 0.250 0.250
Br 0.500 0.750 0.750
Re 0.000 0.643 0.479
Re 0.000 0.857 0.021

Calculated volume (computed, Å³/cell): 85 737 182 86 83 139 50 64